Entry 1:
The following is a DFT calculation (meta-GGA SCAN) of a crystal of LiScCl2 relaxed with PBEsol.

Calculated values
Space group ... No. 123
Formation energy without anion corrections ... -5.31 eV/f.u.
Total magnetization ... 0.000 μB per formula unit

The structure in POSCAR format:
```
LiScCl2
1.0
-3.1703 -0.5081 -0.3199
0.3530 -0.1870 -3.2018
0.9501 -6.2233 0.4682
Cl Li Sc
2 1 1
direct
0.0000 0.0000 0.7352 Cl
0.0000 0.0000 0.2648 Cl
0.5000 0.5000 0.0000 Li
0.5000 0.5000 0.5000 Sc
```

=====

Entry 2:
The following is a DFT calculation (meta-GGA SCAN) of a crystal of LiScCl3 relaxed with PBEsol.

Calculated values
Space group ... No. 221
Formation energy without anion corrections ... -8.71 eV/f.u.
Total magnetization ... 0.001 μB per formula unit

The structure in POSCAR format:
```
LiScCl3
1.0
-2.1843 4.4410 -0.4210
-4.1066 -1.8187 2.1211
1.7424 1.2808 4.4715
Li Cl Sc
1 3 1
direct
0.5000 0.5000 0.5000 Li
0.5000 0.0000 0.0000 Cl
0.0000 0.5000 0.0000 Cl
0.0000 0.0000 0.5000 Cl
0.0000 0.0000 0.0000 Sc
```

=====

Entry 3:
The following is a DFT calculation (meta-GGA SCAN) of a crystal of Li3ScCl6 relaxed with PBEsol.

Calculated values
Space group ... No. 5
Formation energy without anion corrections ... -21.58 eV/f.u.
Total magnetization ... 0.000 μB per formula unit

The structure in POSCAR format:
```
Li3ScCl6
1.0
6.2670 -0.0070 0.0053
-3.1117 5.4399 0.0053
-1.0997 -1.8935 23.6805
Cl Li Sc
24 12 4
direct
0.7199 0.6557 0.0642 Cl
0.2013 0.4396 0.4336 Cl
0.9508 0.1886 0.6836 Cl
0.0318 0.6003 0.9343 Cl
0.2713 0.8533 0.6828 Cl
0.4559 0.6964 0.1851 Cl
0.5604 0.7987 0.5664 Cl
0.9933 0.9123 0.8157 Cl
0.2407 0.1661 0.5641 Cl
0.3443 0.2801 0.9358 Cl
0.4910 0.4163 0.3142 Cl
0.1467 0.7287 0.3172 Cl
0.8964 0.4784 0.5672 Cl
0.3997 0.9682 0.0657 Cl
0.5216 0.1036 0.4328 Cl
0.6486 0.2330 0.8173 Cl
0.7670 0.3514 0.1827 Cl
0.8114 0.0492 0.3164 Cl
0.0646 0.3124 0.0677 Cl
0.0877 0.0067 0.1843 Cl
0.8339 0.7593 0.4359 Cl
0.5837 0.5090 0.6858 Cl
0.6876 0.9354 0.9323 Cl
0.3036 0.5441 0.8149 Cl
0.2900 0.2092 0.7500 Li
0.7908 0.7100 0.2500 Li
0.1690 0.0816 0.3750 Li
0.5824 0.1678 0.6251 Li
0.5406 0.4594 0.5000 Li
0.9184 0.8310 0.6250 Li
0.0819 0.6634 0.1251 Li
0.3366 0.9181 0.8749 Li
0.4177 0.3351 0.1250 Li
0.8322 0.4176 0.3749 Li
0.3747 0.6253 0.0000 Li
0.6649 0.5823 0.8750 Li
0.9962 0.2480 0.8751 Sc
0.7520 0.0038 0.1249 Sc
0.2479 0.5016 0.6250 Sc
0.4984 0.7521 0.3750 Sc
```

=====

Entry 4:
The following is a DFT calculation (meta-GGA SCAN) of a crystal of LiSc2Cl relaxed with PBEsol.

Calculated values
Space group ... No. 65
Formation energy without anion corrections ... -1.01 eV/f.u.
Total magnetization ... 0.000 μB per formula unit

The structure in POSCAR format:
```
LiSc2Cl
1.0
3.0741 0.0000 0.0000
0.0000 4.9381 0.4369
0.0000 -1.0596 4.8428
Sc Li Cl
2 1 1
direct
0.0000 0.0000 0.5000 Sc
0.0000 0.5000 0.0000 Sc
0.5000 0.5000 0.5000 Li
0.5000 0.0000 0.0000 Cl
```